Computed, not measured: a relaxed structure of NaTcO2 at the PBE level of DFT.

Cell and atoms, written as POSCAR:
```
NaTcO2
1.0
1.517 0.876 6.481
-1.517 0.876 6.481
0.000 -1.752 6.481
Na Tc O
1 1 2
Direct
0.000 0.000 0.000
0.500 0.500 0.500
0.409 0.409 0.409
0.591 0.591 0.591
```

**ΔE_f (raw)**: -1.12 eV/atom
**Mass density**: 4915 kg/m3
**E**: -26.08 eV/cell



Computed, not measured: a relaxed structure of NaTcTe2O8 at the PBE level of DFT.

Cell and atoms, written as POSCAR:
```
NaTcTe2O8
1.0
4.929 0.000 0.000
0.004 5.371 0.000
0.410 1.107 6.718
Na Tc Te O
1 1 2 8
Direct
0.000 0.000 0.000
0.000 0.000 0.500
0.482 0.440 0.242
0.518 0.560 0.758
0.160 0.182 0.661
0.247 0.144 0.262
0.250 0.729 0.564
0.289 0.641 0.974
0.711 0.359 0.026
0.750 0.271 0.436
0.753 0.856 0.738
0.840 0.818 0.339
```

**ΔE_f (raw)**: -1.15 eV/atom
**Mass density**: 4707 kg/m3
**E**: -71.44 eV/cell



Computed, not measured: a relaxed structure of NaTc2TeO8 at the PBE level of DFT.

Cell and atoms, written as POSCAR:
```
NaTc2TeO8
1.0
3.607 -3.342 0.000
3.607 3.342 0.000
-0.408 0.000 6.318
Na Tc Te O
1 2 1 8
Direct
0.000 0.000 0.000
0.486 0.486 0.747
0.514 0.514 0.253
0.000 0.000 0.500
0.192 0.744 0.266
0.256 0.808 0.734
0.301 0.301 0.506
0.337 0.337 0.973
0.663 0.663 0.027
0.699 0.699 0.494
0.744 0.192 0.266
0.808 0.256 0.734
```

**ΔE_f (raw)**: -1.21 eV/atom
**Mass density**: 5173 kg/m3
**E**: -79.40 eV/cell



Computed, not measured: a relaxed structure of Na2TcTeO6 at the PBE level of DFT.

Cell and atoms, written as POSCAR:
```
Na2TcTeO6
1.0
5.543 0.000 0.000
0.000 5.543 0.000
0.000 0.000 4.897
Na Tc Te O
2 1 1 6
Direct
0.000 0.500 0.000
0.500 0.000 0.000
0.000 0.000 0.573
0.500 0.500 0.614
0.000 0.000 0.219
0.233 0.233 0.699
0.233 0.767 0.699
0.500 0.500 0.233
0.767 0.233 0.699
0.767 0.767 0.699
```

**ΔE_f (raw)**: -1.35 eV/atom
**Mass density**: 4057 kg/m3
**E**: -59.37 eV/cell



Computed, not measured: a relaxed structure of NaThTc2O8 at the PBE level of DFT.

Cell and atoms, written as POSCAR:
```
NaThTc2O8
1.0
6.021 0.000 0.000
-3.010 5.214 0.000
0.000 0.000 7.033
Na Th Tc O
1 1 2 8
Direct
0.000 0.000 0.000
0.000 0.000 0.500
0.333 0.667 0.805
0.667 0.333 0.195
0.169 0.337 0.711
0.169 0.831 0.711
0.333 0.667 0.052
0.337 0.169 0.289
0.663 0.831 0.711
0.667 0.333 0.948
0.831 0.169 0.289
0.831 0.663 0.289
```

**ΔE_f (raw)**: -1.92 eV/atom
**Mass density**: 4355 kg/m3
**E**: -92.20 eV/cell



Computed, not measured: a relaxed structure of Na2ThTcO6 at the PBE level of DFT.

Cell and atoms, written as POSCAR:
```
Na2ThTcO6
1.0
5.845 0.000 0.000
0.000 5.845 0.000
0.000 0.000 4.570
Na Th Tc O
2 1 1 6
Direct
0.000 0.500 0.000
0.500 0.000 0.000
0.000 0.000 0.630
0.500 0.500 0.579
0.000 0.000 0.141
0.278 0.278 0.694
0.278 0.722 0.694
0.500 0.500 0.203
0.722 0.278 0.694
0.722 0.722 0.694
```

**ΔE_f (raw)**: -2.15 eV/atom
**Mass density**: 5021 kg/m3
**E**: -71.64 eV/cell



Computed, not measured: a relaxed structure of Na2TiTcO6 at the PBE level of DFT.

Cell and atoms, written as POSCAR:
```
Na2TiTcO6
1.0
5.485 0.000 0.000
0.000 5.485 0.000
0.000 0.000 3.861
Na Ti Tc O
2 1 1 6
Direct
0.000 0.500 0.000
0.500 0.000 0.000
0.000 0.000 0.500
0.500 0.500 0.500
0.000 0.000 0.000
0.255 0.255 0.500
0.255 0.745 0.500
0.500 0.500 0.000
0.745 0.255 0.500
0.745 0.745 0.500
```

**ΔE_f (raw)**: -1.99 eV/atom
**Mass density**: 4114 kg/m3
**E**: -70.54 eV/cell



Computed, not measured: a relaxed structure of NaTiTc2O8 at the PBE level of DFT.

Cell and atoms, written as POSCAR:
```
NaTiTc2O8
1.0
5.241 -2.912 0.000
5.241 2.912 0.000
-1.253 0.000 5.792
Na Ti Tc O
1 1 2 8
Direct
0.000 0.000 0.000
0.500 0.500 0.500
0.189 0.189 0.622
0.811 0.811 0.378
0.148 0.646 0.297
0.155 0.155 0.322
0.354 0.852 0.703
0.367 0.367 0.698
0.633 0.633 0.302
0.646 0.148 0.297
0.845 0.845 0.678
0.852 0.354 0.703
```

**ΔE_f (raw)**: -1.66 eV/atom
**Mass density**: 3709 kg/m3
**E**: -89.49 eV/cell



Computed, not measured: a relaxed structure of NaTlTc2O8 at the PBE level of DFT.

Cell and atoms, written as POSCAR:
```
NaTlTc2O8
1.0
-4.012 4.012 3.621
4.012 -4.012 3.621
4.012 4.012 -3.621
Na Tl Tc O
1 1 2 8
Direct
0.000 0.000 0.000
0.250 0.750 0.500
0.500 0.500 0.000
0.750 0.250 0.500
0.356 0.182 0.826
0.356 0.530 0.174
0.432 0.109 0.323
0.470 0.644 0.826
0.786 0.109 0.677
0.818 0.644 0.174
0.891 0.214 0.323
0.891 0.568 0.677
```

**ΔE_f (raw)**: -1.45 eV/atom
**Mass density**: 3927 kg/m3
**E**: -81.53 eV/cell



Computed, not measured: a relaxed structure of Na2TlTcO4 at the PBE level of DFT.

Cell and atoms, written as POSCAR:
```
Na2TlTcO4
1.0
-2.795 2.795 4.496
2.795 -2.795 4.496
2.795 2.795 -4.496
Na Tl Tc O
2 1 1 4
Direct
0.000 0.000 0.000
0.750 0.250 0.500
0.500 0.500 0.000
0.250 0.750 0.500
0.076 0.648 0.074
0.352 0.427 0.428
0.573 0.001 0.926
0.999 0.924 0.572
```

**ΔE_f (raw)**: -1.30 eV/atom
**Mass density**: 4873 kg/m3
**E**: -45.60 eV/cell



Computed, not measured: a relaxed structure of Na2Tl3TcO6 at the PBE level of DFT.

Cell and atoms, written as POSCAR:
```
Na2Tl3TcO6
1.0
2.999 -5.246 0.000
2.999 5.246 0.000
-1.660 0.000 6.018
Na Tl Tc O
2 3 1 6
Direct
0.169 0.831 0.000
0.831 0.169 0.000
0.000 0.000 0.500
0.332 0.668 0.500
0.668 0.332 0.500
0.500 0.500 0.000
0.179 0.437 0.828
0.306 0.306 0.212
0.437 0.179 0.828
0.563 0.821 0.172
0.694 0.694 0.788
0.821 0.563 0.172
```

**ΔE_f (raw)**: -1.15 eV/atom
**Mass density**: 7483 kg/m3
**E**: -63.67 eV/cell



Computed, not measured: a relaxed structure of Na3Tl3TcO8 at the PBE level of DFT.

Cell and atoms, written as POSCAR:
```
Na3Tl3TcO8
1.0
3.420 1.975 5.546
-3.420 1.975 5.546
0.000 -3.950 5.546
Na Tl Tc O
3 3 1 8
Direct
0.000 0.500 0.500
0.500 0.000 0.500
0.500 0.500 0.000
0.000 0.000 0.500
0.000 0.500 0.000
0.500 0.000 0.000
0.500 0.500 0.500
0.242 0.242 0.242
0.290 0.706 0.706
0.294 0.294 0.710
0.294 0.710 0.294
0.706 0.290 0.706
0.706 0.706 0.290
0.710 0.294 0.294
0.758 0.758 0.758
```

**ΔE_f (raw)**: -1.14 eV/atom
**Mass density**: 6709 kg/m3
**E**: -78.23 eV/cell



Computed, not measured: a relaxed structure of NaTlTcO4 at the PBE level of DFT.

Cell and atoms, written as POSCAR:
```
NaTlTcO4
1.0
6.294 0.000 0.000
0.000 6.263 0.000
-1.808 0.000 7.075
Na Tl Tc O
2 2 2 8
Direct
0.189 0.250 0.056
0.811 0.750 0.944
0.275 0.250 0.581
0.725 0.750 0.419
0.284 0.750 0.853
0.716 0.250 0.147
0.103 0.523 0.818
0.103 0.977 0.818
0.455 0.750 0.691
0.458 0.750 0.087
0.542 0.250 0.913
0.545 0.250 0.309
0.897 0.023 0.182
0.897 0.477 0.182
```

**ΔE_f (raw)**: -1.34 eV/atom
**Mass density**: 4636 kg/m3
**E**: -86.56 eV/cell



Computed, not measured: a relaxed structure of NaTl3Tc2O8 at the PBE level of DFT.

Cell and atoms, written as POSCAR:
```
NaTl3Tc2O8
1.0
6.192 0.000 0.000
-3.096 5.363 0.000
0.000 0.000 7.883
Na Tl Tc O
1 3 2 8
Direct
0.000 0.000 0.000
0.000 0.000 0.500
0.333 0.667 0.166
0.667 0.333 0.834
0.333 0.667 0.713
0.667 0.333 0.287
0.177 0.353 0.794
0.177 0.823 0.794
0.333 0.667 0.488
0.353 0.177 0.206
0.647 0.823 0.794
0.667 0.333 0.512
0.823 0.177 0.206
0.823 0.647 0.206
```

**ΔE_f (raw)**: -1.26 eV/atom
**Mass density**: 6090 kg/m3
**E**: -86.40 eV/cell



Computed, not measured: a relaxed structure of Na2UTcO6 at the PBE level of DFT.

Cell and atoms, written as POSCAR:
```
Na2UTcO6
1.0
5.772 0.000 0.000
0.000 5.772 0.000
0.000 0.000 4.081
Na U Tc O
2 1 1 6
Direct
0.000 0.500 0.000
0.500 0.000 0.000
0.000 0.000 0.504
0.500 0.500 0.504
0.000 0.000 0.004
0.254 0.254 0.505
0.254 0.746 0.505
0.500 0.500 0.005
0.746 0.254 0.505
0.746 0.746 0.505
```

**ΔE_f (raw)**: -2.14 eV/atom
**Mass density**: 5839 kg/m3
**E**: -75.49 eV/cell